First-principles (PBE) data for Sm3Bi2Se after structural relaxation, as listed in the Open Quantum Materials Database.

Computed properties:
Final energy ... -33.0 eV for the cell shown

Cell: 4.4111 4.4111 10.8406 Å, 90.00 90.00 120.00°
Closest atoms and distances in Å follow each position.
Space group P-3m1 (No. 164)
Symmetry-distinct sites (fractional):
Sm 0.0000 0.0000 0.0000 (multiplicity 1)  6 Bi 3.18
Sm 0.3333 0.6667 0.6486 (multiplicity 2)  3 Se 3.01, 3 Bi 3.18
Bi 0.3333 0.6667 0.1755 (multiplicity 2)  6 Sm 3.18
Se 0.0000 0.0000 0.5000 (multiplicity 1)  6 Sm 3.01